## LaGa8Os2 (PBE-GGA)

Data for crystalline LaGa8Os2 at its relaxed geometry.

Results
E	-4.705	eV/atom

abc: 6.3939 6.3939 5.3035
angles: 90.00 90.00 90.00
Last column: nearest neighbours and their distance in Å.
Positions (direct):
La (0.5000, 0.5000, 0.5000)  8 Ga 2.96
Ga (0.7919, 0.7919, 0.2485)  4 Ga 2.64-2.67, 2 Os 2.64
Ga (0.7919, 0.2081, 0.7515)  4 Ga 2.64-2.67, 2 Os 2.64
Ga (0.7919, 0.7919, 0.7515)  4 Ga 2.64-2.67, 2 Os 2.64
Ga (0.7919, 0.2081, 0.2485)  4 Ga 2.64-2.67, 2 Os 2.64
Ga (0.2081, 0.7919, 0.2485)  4 Ga 2.64-2.67, 2 Os 2.64
Ga (0.2081, 0.7919, 0.7515)  4 Ga 2.64-2.67, 2 Os 2.64
Ga (0.2081, 0.2081, 0.2485)  4 Ga 2.64-2.67, 2 Os 2.64
Ga (0.2081, 0.2081, 0.7515)  4 Ga 2.64-2.67, 2 Os 2.64
Os (0.5000, 0.0000, 0.0000)  8 Ga 2.64
Os (0.0000, 0.5000, 0.0000)  8 Ga 2.64

=====

## KSi3Cl (PBE-GGA)

Data for crystalline KSi3Cl at its relaxed geometry.

Results
formation energy without anion corrections	10.019	eV/f.u.
offset from the most stable computed form	1058	meV per atom

abc: 5.7690 5.7690 5.7690
angles: 90.00 90.00 90.00
Last column: nearest neighbours and their distance in Å.
Positions (direct):
K (0.0000, 0.0000, 0.0000)  6 Si 2.88
Si (0.0000, 0.5000, 0.0000)  2 K 2.88
Si (0.0000, 0.0000, 0.5000)  2 K 2.88
Si (0.5000, 0.0000, 0.0000)  2 K 2.88
Cl (0.5000, 0.5000, 0.5000)  12 Si 4.08

=====

## DyHoAlIn (PBE-GGA)

Data for crystalline DyHoAlIn at its relaxed geometry.

Results
offset from the most stable computed form	11	meV per atom

abc: 5.2036 5.2036 5.2036
angles: 60.00 60.00 60.00
Last column: nearest neighbours and their distance in Å.
Positions (direct):
Al (0.7500, 0.7500, 0.7500)  4 Ho 3.19, 4 Dy 3.19
In (0.2500, 0.2500, 0.2500)  4 Ho 3.19, 4 Dy 3.19
Ho (0.5000, 0.5000, 0.5000)  4 In 3.19, 4 Al 3.19
Dy (0.0000, 0.0000, 0.0000)  4 Al 3.19, 4 In 3.19

=====

## Al2PtSe (PBE-GGA)

Data for crystalline Al2PtSe at its relaxed geometry.

Results
formation energy without anion corrections	-1.992	eV/f.u.

abc: 5.4061 3.6536 3.6547
angles: 90.01 90.00 90.00
Last column: nearest neighbours and their distance in Å.
Positions (direct):
Se (0.5000, 0.8751, 0.8751)  6 Al 2.58-2.70
Pt (0.0000, 0.3749, 0.3749)  6 Al 2.58-2.70
Al (0.0000, 0.8749, 0.8748)  4 Pt 2.58, 2 Se 2.70
Al (0.5000, 0.3751, 0.3751)  4 Se 2.58, 2 Pt 2.70